(1)
DFT (GGA-PBE) results for crystalline AcCeCO at its relaxed geometry.

Cell: 6.508 6.508 6.508 Å, 33.60 33.60 33.60°
Atoms (fractional coordinates):
1 Ac 0.000 0.000 0.000
2 Ce 0.499 0.499 0.499
3 C 0.763 0.763 0.763
4 O 0.240 0.240 0.240

Summary:
Volume (Å³ per cell): 75.2
ρ (g/cm3): 8.72
Uncorrected energy (Ry/atom): -0.5466

=====

(2)
DFT (GGA-PBE) results for crystalline Nd3DyTm7 at its relaxed geometry.

Cell: 6.925 5.470 9.946 Å, 90.00 109.42 90.00°
Atoms (fractional coordinates):
1 Nd 0.000 0.000 0.000
2 Nd 0.281 0.500 0.495
3 Nd 0.719 0.500 0.505
4 Dy 0.500 0.000 0.000
5 Tm 0.000 0.000 0.500
6 Tm 0.150 0.500 0.789
7 Tm 0.321 0.500 0.137
8 Tm 0.425 0.000 0.330
9 Tm 0.575 0.000 0.670
10 Tm 0.679 0.500 0.863
11 Tm 0.850 0.500 0.211

Summary:
Volume (Å³ per cell): 355.3
Offset from the most stable computed form (eV/atom): 0.0000
ρ (g/cm3): 8.31
Calculated formation energy (meV/atom): 159
Uncorrected energy (Ry/atom): -0.3238

=====

(3)
DFT (GGA-PBE) results for crystalline Ac4SiTe2N at its relaxed geometry.

Cell: 7.594 4.425 8.130 Å, 90.00 108.42 90.00°
Atoms (fractional coordinates):
1 Ac 0.220 0.000 0.203
2 Ac 0.241 0.500 0.790
3 Ac 0.759 0.500 0.210
4 Ac 0.780 0.000 0.797
5 Si 0.500 0.000 0.000
6 Te 0.000 0.000 0.500
7 Te 0.500 0.500 0.500
8 N 0.000 0.500 0.000

Summary:
Volume (Å³ per cell): 259.2
ρ (g/cm3): 7.72
Uncorrected energy (Ry/atom): -0.4169

=====

(4)
DFT (GGA-PBE) results for crystalline CsLa2GaO5 at its relaxed geometry.

Cell: 7.684 7.684 7.684 Å, 125.07 125.07 81.42°
Atoms (fractional coordinates):
1 Cs 0.250 0.250 0.000
2 Cs 0.750 0.750 0.000
3 La 0.186 0.686 0.872
4 La 0.314 0.186 0.500
5 La 0.686 0.814 0.500
6 La 0.814 0.314 0.128
7 Ga 0.250 0.750 0.500
8 Ga 0.750 0.250 0.500
9 O 0.000 0.000 0.000
10 O 0.001 0.764 0.500
11 O 0.236 0.736 0.237
12 O 0.264 0.501 0.500
13 O 0.499 0.999 0.763
14 O 0.500 0.500 0.000
15 O 0.501 0.001 0.237
16 O 0.736 0.499 0.500
17 O 0.764 0.264 0.763
18 O 0.999 0.236 0.500

Summary:
Volume (Å³ per cell): 292.6
ρ (g/cm3): 6.36
Uncorrected energy (Ry/atom): -0.5054

=====

(5)
DFT (GGA-PBE) results for crystalline ScTcClO4 at its relaxed geometry.

Cell: 6.039 6.039 6.778 Å, 103.12 103.12 67.78°
Atoms (fractional coordinates):
1 Sc 0.217 0.217 0.087
2 Sc 0.783 0.783 0.913
3 Tc 0.367 0.367 0.716
4 Tc 0.633 0.633 0.284
5 Cl 0.006 0.006 0.772
6 Cl 0.994 0.994 0.228
7 O 0.104 0.483 0.854
8 O 0.284 0.284 0.456
9 O 0.452 0.452 0.205
10 O 0.483 0.104 0.854
11 O 0.517 0.896 0.146
12 O 0.548 0.548 0.795
13 O 0.716 0.716 0.544
14 O 0.896 0.517 0.146

Summary:
Volume (Å³ per cell): 220.1
ρ (g/cm3): 3.66
Uncorrected energy (Ry/atom): -0.5441

=====

(6)
DFT (GGA-PBE) results for crystalline Ac4Cu2Ru at its relaxed geometry.

Cell: 8.342 8.342 8.342 Å, 139.81 139.81 58.15°
Atoms (fractional coordinates):
1 Ac 0.000 0.500 0.500
2 Ac 0.200 0.200 0.000
3 Ac 0.500 0.000 0.500
4 Ac 0.800 0.800 0.000
5 Cu 0.410 0.410 0.000
6 Cu 0.590 0.590 0.000
7 Ru 0.000 0.000 0.000

Summary:
Volume (Å³ per cell): 239.6
Offset from the most stable computed form (eV/atom): 0.1659
ρ (g/cm3): 7.87
Calculated formation energy (meV/atom): 22
Uncorrected energy (Ry/atom): -0.3543

=====

(7)
DFT (GGA-PBE) results for crystalline Pm2Pr2Te3 at its relaxed geometry.

Cell: 8.177 8.177 8.177 Å, 109.47 109.47 109.47°
Atoms (fractional coordinates):
1 Pm 0.000 0.859 0.500
2 Pm 0.500 0.000 0.859
3 Pm 0.641 0.641 0.641
4 Pm 0.859 0.500 0.000
5 Pr 0.000 0.354 0.500
6 Pr 0.146 0.146 0.146
7 Pr 0.354 0.500 0.000
8 Pr 0.500 0.000 0.354
9 Te 0.122 0.750 0.872
10 Te 0.250 0.628 0.378
11 Te 0.378 0.250 0.628
12 Te 0.628 0.378 0.250
13 Te 0.750 0.872 0.122
14 Te 0.872 0.122 0.750

Summary:
Volume (Å³ per cell): 420.8
Offset from the most stable computed form (eV/atom): 0.0000
ρ (g/cm3): 7.53
Uncorrected energy (Ry/atom): -0.3889

=====

(8)
DFT (GGA-PBE) results for crystalline Sm2ThNi at its relaxed geometry.

Cell: 6.909 9.927 6.465 Å, 90.00 90.00 90.00°
Atoms (fractional coordinates):
1 Sm 0.181 0.067 0.169
2 Sm 0.181 0.433 0.169
3 Sm 0.319 0.567 0.669
4 Sm 0.319 0.933 0.669
5 Sm 0.681 0.067 0.331
6 Sm 0.681 0.433 0.331
7 Sm 0.819 0.567 0.831
8 Sm 0.819 0.933 0.831
9 Th 0.042 0.250 0.657
10 Th 0.458 0.750 0.157
11 Th 0.542 0.250 0.843
12 Th 0.958 0.750 0.343
13 Ni 0.121 0.750 0.951
14 Ni 0.379 0.250 0.451
15 Ni 0.621 0.750 0.549
16 Ni 0.879 0.250 0.049

Summary:
Volume (Å³ per cell): 443.4
ρ (g/cm3): 8.86
Calculated formation energy (meV/atom): -185
Uncorrected energy (Ry/atom): -0.4296

=====

(9)
DFT (GGA-PBE) results for crystalline SrTl2W at its relaxed geometry.

Cell: 6.022 6.022 6.022 Å, 136.80 136.80 62.74°
Atoms (fractional coordinates):
1 Sr 0.000 0.000 0.000
2 Tl 0.250 0.750 0.500
3 Tl 0.500 0.500 0.000
4 W 0.750 0.250 0.500

Summary:
Volume (Å³ per cell): 101.0
Offset from the most stable computed form (eV/atom): 0.2703
ρ (g/cm3): 11.18
Calculated formation energy (meV/atom): 878
Uncorrected energy (Ry/atom): -0.2913

=====

(10)
DFT (GGA-PBE) results for crystalline InAgOs2Rh at its relaxed geometry.

Cell: 4.678 4.678 5.001 Å, 90.00 90.00 90.00°
Atoms (fractional coordinates):
1 In 0.000 0.000 0.000
2 Ag 0.500 0.500 0.000
3 Os 0.000 0.500 0.500
4 Os 0.500 0.000 0.500
5 Rh 0.500 0.500 0.500

Summary:
Volume (Å³ per cell): 109.5
ρ (g/cm3): 10.71
Calculated formation energy (meV/atom): 1696
Uncorrected energy (Ry/atom): -0.3958

=====

(11)
DFT (GGA-PBE) results for crystalline ThZnGa4Cu2 at its relaxed geometry.

Cell: 9.185 9.185 9.185 Å, 27.20 27.20 27.20°
Atoms (fractional coordinates):
1 Th 0.000 0.000 0.000
2 Zn 0.500 0.500 0.500
3 Ga 0.126 0.126 0.126
4 Ga 0.401 0.401 0.401
5 Ga 0.599 0.599 0.599
6 Ga 0.874 0.874 0.874
7 Cu 0.248 0.248 0.248
8 Cu 0.752 0.752 0.752

Summary:
Volume (Å³ per cell): 142.9
ρ (g/cm3): 8.18
Calculated formation energy (meV/atom): -182
Uncorrected energy (Ry/atom): -0.2798

=====

(12)
DFT (GGA-PBE) results for crystalline Pm2Ho5Tm12 at its relaxed geometry.

Cell: 9.055 9.055 8.407 Å, 91.05 91.05 60.54°
Atoms (fractional coordinates):
1 Pm 0.186 0.814 0.000
2 Pm 0.814 0.186 0.000
3 Ho 0.197 0.197 0.007
4 Ho 0.267 0.267 0.423
5 Ho 0.500 0.500 0.500
6 Ho 0.733 0.733 0.577
7 Ho 0.803 0.803 0.993
8 Tm 0.056 0.056 0.328
9 Tm 0.065 0.682 0.348
10 Tm 0.162 0.524 0.754
11 Tm 0.318 0.935 0.652
12 Tm 0.406 0.406 0.117
13 Tm 0.476 0.838 0.246
14 Tm 0.524 0.162 0.754
15 Tm 0.594 0.594 0.883
16 Tm 0.682 0.065 0.348
17 Tm 0.838 0.476 0.246
18 Tm 0.935 0.318 0.652
19 Tm 0.944 0.944 0.672

Summary:
Volume (Å³ per cell): 600.1
Offset from the most stable computed form (eV/atom): 0.1077
ρ (g/cm3): 8.69
Calculated formation energy (meV/atom): 132
Uncorrected energy (Ry/atom): -0.3231

=====

(13)
DFT (GGA-PBE) results for crystalline CdAgOs2O8 at its relaxed geometry.

Cell: 5.988 5.988 6.747 Å, 90.00 90.00 120.00°
Atoms (fractional coordinates):
1 Cd 0.000 0.000 0.000
2 Ag 0.000 0.000 0.500
3 Os 0.333 0.667 0.298
4 Os 0.667 0.333 0.702
5 O 0.166 0.333 0.227
6 O 0.166 0.834 0.227
7 O 0.333 0.166 0.773
8 O 0.333 0.667 0.559
9 O 0.667 0.333 0.441
10 O 0.667 0.834 0.227
11 O 0.834 0.166 0.773
12 O 0.834 0.667 0.773

Summary:
Volume (Å³ per cell): 209.5
ρ (g/cm3): 5.78
Uncorrected energy (Ry/atom): -0.4570

=====

(14)
DFT (GGA-PBE) results for crystalline DyY2ErTl2 at its relaxed geometry.

Cell: 5.073 9.946 6.854 Å, 90.00 90.00 90.00°
Atoms (fractional coordinates):
1 Dy 0.000 0.044 0.000
2 Dy 0.000 0.956 0.500
3 Y 0.000 0.311 0.379
4 Y 0.000 0.689 0.879
5 Y 0.500 0.455 0.095
6 Y 0.500 0.545 0.595
7 Er 0.500 0.189 0.717
8 Er 0.500 0.811 0.217
9 Tl 0.000 0.367 0.839
10 Tl 0.000 0.633 0.339
11 Tl 0.500 0.130 0.258
12 Tl 0.500 0.870 0.758

Summary:
Volume (Å³ per cell): 345.8
ρ (g/cm3): 8.80
Calculated formation energy (meV/atom): -286
Uncorrected energy (Ry/atom): -0.3497

=====

(15)
DFT (GGA-PBE) results for crystalline Ca2YCo at its relaxed geometry.

Cell: 3.969 4.453 6.459 Å, 90.00 103.58 90.00°
Atoms (fractional coordinates):
1 Ca 0.120 0.000 0.292
2 Ca 0.880 0.000 0.708
3 Y 0.500 0.500 0.000
4 Co 0.500 0.500 0.500

Summary:
Volume (Å³ per cell): 111.0
Offset from the most stable computed form (eV/atom): 0.3670
ρ (g/cm3): 3.41
Calculated formation energy (meV/atom): 419
Uncorrected energy (Ry/atom): -0.2921

=====

(16)
DFT (GGA-PBE) results for crystalline EuAgAs at its relaxed geometry.

Cell: 4.477 4.477 4.233 Å, 90.00 90.00 120.00°
Atoms (fractional coordinates):
1 Eu 0.000 0.000 0.000
2 Ag 0.667 0.333 0.500
3 As 0.333 0.667 0.501

Summary:
Volume (Å³ per cell): 73.5
ρ (g/cm3): 7.56
Calculated formation energy (meV/atom): -734
Uncorrected energy (Ry/atom): -0.4895

=====

(17)
DFT (GGA-PBE) results for crystalline Si2SbW at its relaxed geometry.

Cell: 7.176 7.176 7.176 Å, 131.34 131.34 71.28°
Atoms (fractional coordinates):
1 Si 0.089 0.625 0.964
2 Si 0.375 0.339 0.464
3 Si 0.661 0.125 0.036
4 Si 0.875 0.911 0.536
5 Sb 0.250 0.750 0.500
6 Sb 0.500 0.500 0.000
7 W 0.000 0.000 0.000
8 W 0.750 0.250 0.500

Summary:
Volume (Å³ per cell): 203.9
ρ (g/cm3): 5.89
Uncorrected energy (Ry/atom): -0.4512

=====

(18)
DFT (GGA-PBE) results for crystalline Tc2MoW5 at its relaxed geometry.

Cell: 4.351 5.343 6.748 Å, 103.64 108.62 90.13°
Atoms (fractional coordinates):
1 Tc 0.000 0.000 0.000
2 Tc 0.207 0.800 0.416
3 Mo 0.596 0.927 0.194
4 W 0.007 0.502 0.020
5 W 0.201 0.305 0.403
6 W 0.407 0.591 0.817
7 W 0.797 0.697 0.596
8 W 0.805 0.200 0.614

Summary:
Volume (Å³ per cell): 144.0
ρ (g/cm3): 13.97
Calculated formation energy (meV/atom): 606
Uncorrected energy (Ry/atom): -0.8404

=====

(19)
DFT (GGA-PBE) results for crystalline ZnIO2 at its relaxed geometry.

Cell: 6.522 6.522 6.522 Å, 29.03 29.03 29.03°
Atoms (fractional coordinates):
1 Zn 0.000 0.000 0.000
2 I 0.500 0.500 0.500
3 O 0.389 0.389 0.389
4 O 0.611 0.611 0.611

Summary:
Volume (Å³ per cell): 57.8
Offset from the most stable computed form (eV/atom): 0.0318
ρ (g/cm3): 6.44
Uncorrected energy (Ry/atom): -0.2808

=====

(20)
DFT (GGA-PBE) results for crystalline Na2NiW at its relaxed geometry.

Cell: 7.088 7.088 7.088 Å, 96.10 96.10 141.95°
Atoms (fractional coordinates):
1 Na 0.013 0.625 0.888
2 Na 0.375 0.263 0.388
3 Na 0.737 0.125 0.112
4 Na 0.875 0.987 0.612
5 Ni 0.000 0.000 0.000
6 Ni 0.750 0.250 0.500
7 W 0.250 0.750 0.500
8 W 0.500 0.500 0.000

Summary:
Volume (Å³ per cell): 207.5
Offset from the most stable computed form (eV/atom): 0.0000
ρ (g/cm3): 4.62
Calculated formation energy (meV/atom): 1457
Uncorrected energy (Ry/atom): -0.2856